First-principles (PBE) data for a relaxed H12Rh5W3 crystal, as listed in the Alexandria database.

Calculated values
N(E_F) (states/eV/atom): 0.675
Calculated volume (Å³/atom): 7.98
E (eV per atom): -5.54

Cell: 9.396 9.396 9.396 Å, 109.47 109.47 109.47°
Atoms (fractional coordinates):
H 0.057 0.224 0.139
H 0.057 0.333 0.918
H 0.082 0.639 0.415
H 0.082 0.943 0.667
H 0.085 0.724 0.667
H 0.085 0.861 0.418
H 0.139 0.057 0.224
H 0.139 0.582 0.915
H 0.167 0.224 0.585
H 0.167 0.443 0.582
H 0.224 0.139 0.057
H 0.224 0.585 0.167
H 0.276 0.333 0.915
H 0.276 0.443 0.361
H 0.333 0.915 0.276
H 0.333 0.918 0.057
H 0.361 0.276 0.443
H 0.361 0.585 0.918
H 0.415 0.082 0.639
H 0.415 0.833 0.776
H 0.418 0.085 0.861
H 0.418 0.833 0.557
H 0.443 0.361 0.276
H 0.443 0.582 0.167
H 0.557 0.418 0.833
H 0.557 0.639 0.724
H 0.582 0.167 0.443
H 0.582 0.915 0.139
H 0.585 0.167 0.224
H 0.585 0.918 0.361
H 0.639 0.415 0.082
H 0.639 0.724 0.557
H 0.667 0.082 0.943
H 0.667 0.085 0.724
H 0.724 0.557 0.639
H 0.724 0.667 0.085
H 0.776 0.415 0.833
H 0.776 0.861 0.943
H 0.833 0.557 0.418
H 0.833 0.776 0.415
H 0.861 0.418 0.085
H 0.861 0.943 0.776
H 0.915 0.139 0.582
H 0.915 0.276 0.333
H 0.918 0.057 0.333
H 0.918 0.361 0.585
H 0.943 0.667 0.082
H 0.943 0.776 0.861
Rh 0.000 0.000 0.000
Rh 0.000 0.000 0.500
Rh 0.000 0.500 0.000
Rh 0.000 0.500 0.500
Rh 0.125 0.750 0.875
Rh 0.125 0.875 0.250
Rh 0.250 0.125 0.875
Rh 0.250 0.625 0.375
Rh 0.375 0.250 0.625
Rh 0.375 0.625 0.750
Rh 0.500 0.000 0.000
Rh 0.500 0.000 0.500
Rh 0.500 0.500 0.000
Rh 0.500 0.500 0.500
Rh 0.625 0.375 0.250
Rh 0.625 0.750 0.375
Rh 0.750 0.375 0.625
Rh 0.750 0.875 0.125
Rh 0.875 0.125 0.750
Rh 0.875 0.250 0.125
W 0.125 0.250 0.375
W 0.125 0.375 0.750
W 0.250 0.375 0.125
W 0.250 0.875 0.625
W 0.375 0.125 0.250
W 0.375 0.750 0.125
W 0.625 0.250 0.875
W 0.625 0.875 0.750
W 0.750 0.125 0.375
W 0.750 0.625 0.875
W 0.875 0.625 0.250
W 0.875 0.750 0.625



First-principles (PBE) data for a relaxed TaVAs2Se crystal, as listed in the Alexandria database.

Calculated values
N(E_F) (states/eV/atom): 1.799
Calculated volume (Å³/atom): 24.62
Formation energy without anion corrections (eV/atom): 0.775
E above lowest polymorph (eV per formula unit): 0.15

Cell: 4.986 4.986 4.952 Å, 90.00 90.00 90.00°
Atoms (fractional coordinates):
Ta 0.000 0.000 0.000
V 0.500 0.500 0.500
As 0.000 0.500 0.000
As 0.500 0.000 0.000
Se 0.000 0.000 0.500